First-principles (GGA+U) data for a relaxed structure of YNiSO2, as listed in Alexandria.

The value obtained for the calculated density is 5.21 Mg/m³. For the total energy, the calculation gives -25.48 eV for the cell shown.

a b c (Å): 4.1181 3.9809 4.1181
angles (deg): 90.00 90.00 90.00
With the nearest neighbours (Å) after each atom.
Element x y z (fractional)
Y: 0.5000 0.5000 0.5000  8 O 2.86, 4 Ni 2.91
Ni: 0.0000 0.5000 0.0000  2 S 1.99
S: 0.0000 0.0000 0.0000  2 Ni 1.99, 4 O 2.06
O: 0.0000 0.0000 0.5000  2 S 2.06
O: 0.5000 0.0000 0.0000  2 S 2.06